A plane-wave DFT calculation with PBE-GGA was carried out for a geometry-optimized CoAuN2 structure.

Its uncorrected formation energy is 841 meV per atom.

Cell lengths 4.858, 4.858, 8.275 Å; angles 90.00, 90.00, 90.00 degrees
Atoms (fractional coordinates):
1 Co 0.000 0.000 0.000
2 Co 0.000 0.500 0.250
3 Co 0.500 0.000 0.750
4 Co 0.500 0.500 0.500
5 Au 0.000 0.000 0.500
6 Au 0.000 0.500 0.750
7 Au 0.500 0.000 0.250
8 Au 0.500 0.500 0.000
9 N 0.173 0.250 0.125
10 N 0.250 0.673 0.375
11 N 0.250 0.827 0.875
12 N 0.327 0.250 0.625
13 N 0.673 0.750 0.625
14 N 0.750 0.173 0.875
15 N 0.750 0.327 0.375
16 N 0.827 0.750 0.125